Record 1
LiPrHoGe: relaxed, GGA-PBE.

Properties
Calculated total energy in eV per cell: -17.506

a = 5.120 Å, b = 5.120 Å, c = 5.120 Å
α = 60.00°, β = 60.00°, γ = 60.00°
Fractional coordinates of all 4 atoms:
Pr (0.000, 0.000, 0.000)
Ge (0.250, 0.250, 0.250)
Ho (0.500, 0.500, 0.500)
Li (0.750, 0.750, 0.750)


Record 2
TbSmTlHg: relaxed, GGA-PBE.

Properties
Calculated total energy in eV per cell: -13.705

a = 5.381 Å, b = 5.381 Å, c = 5.381 Å
α = 60.00°, β = 60.00°, γ = 60.00°
Fractional coordinates of all 4 atoms:
Tl (0.500, 0.500, 0.500)
Tb (0.250, 0.250, 0.250)
Hg (0.000, 0.000, 0.000)
Sm (0.750, 0.750, 0.750)


Record 3
PmTm3Ga4: relaxed, GGA-PBE.

Properties
Energy relative to the lowest polymorph listed for this composition in meV/atom: 122

a = 3.480 Å, b = 6.736 Å, c = 9.189 Å
α = 111.50°, β = 100.91°, γ = 90.00°
Fractional coordinates of all 8 atoms:
Pm (0.500, 0.000, 0.000)
Tm (0.000, 0.500, 0.000)
Tm (0.205, 0.205, 0.410)
Tm (0.795, 0.795, 0.590)
Ga (0.369, 0.560, 0.737)
Ga (0.631, 0.440, 0.263)
Ga (0.631, 0.823, 0.263)
Ga (0.369, 0.177, 0.737)


Record 4
TiIn2Ag2: relaxed, GGA-PBE.

Properties
Energy relative to the lowest polymorph listed for this composition in meV/atom: 0

a = 8.016 Å, b = 8.016 Å, c = 3.172 Å
α = 90.00°, β = 90.00°, γ = 90.00°
Fractional coordinates of all 10 atoms:
Ti (0.000, 0.000, 0.000)
Ti (0.500, 0.500, 0.000)
Ag (0.377, 0.877, 0.000)
Ag (0.877, 0.623, 0.000)
Ag (0.623, 0.123, 0.000)
Ag (0.123, 0.377, 0.000)
In (0.178, 0.678, 0.500)
In (0.678, 0.822, 0.500)
In (0.822, 0.322, 0.500)
In (0.322, 0.178, 0.500)


Record 5
LiB2C2: relaxed, GGA-PBE.

Properties
Energy relative to the lowest polymorph listed for this composition in meV/atom: 32

a = 7.760 Å, b = 7.808 Å, c = 5.364 Å
α = 100.29°, β = 100.37°, γ = 35.31°
Fractional coordinates of all 20 atoms:
C (0.706, 0.035, 0.686)
C (0.291, 0.954, 0.310)
C (0.706, 0.042, 0.187)
C (0.291, 0.960, 0.813)
C (0.209, 0.540, 0.437)
C (0.794, 0.458, 0.063)
C (0.209, 0.546, 0.940)
C (0.794, 0.465, 0.564)
B (0.461, 0.789, 0.564)
B (0.532, 0.211, 0.438)
B (0.461, 0.784, 0.059)
B (0.531, 0.214, 0.935)
B (0.969, 0.286, 0.315)
B (0.039, 0.716, 0.191)
B (0.968, 0.289, 0.812)
B (0.039, 0.711, 0.686)
Li (0.504, 0.496, 0.271)
Li (0.749, 0.750, 0.373)
Li (0.996, 0.004, 0.979)
Li (0.751, 0.750, 0.877)


Record 6
Ce4CdPt: relaxed, GGA-PBE.

Properties
Energy relative to the lowest polymorph listed for this composition in meV/atom: 181

a = 7.281 Å, b = 7.155 Å, c = 8.196 Å
α = 110.47°, β = 111.03°, γ = 101.27°
Fractional coordinates of all 12 atoms:
Ce (0.174, 0.959, 0.486)
Ce (0.036, 0.785, 0.069)
Ce (0.188, 0.473, 0.514)
Ce (0.467, 0.716, 0.931)
Ce (0.826, 0.041, 0.514)
Ce (0.812, 0.527, 0.486)
Ce (0.964, 0.215, 0.931)
Ce (0.533, 0.284, 0.069)
Cd (0.396, 0.646, 0.291)
Cd (0.604, 0.354, 0.709)
Pt (0.844, 0.094, 0.188)
Pt (0.156, 0.906, 0.812)


Record 7
Cs3Rb4NaI8: relaxed, GGA-PBE.

Properties
Raw formation energy in eV/atom: -1.464

a = 10.642 Å, b = 10.630 Å, c = 10.651 Å
α = 119.92°, β = 119.98°, γ = 89.99°
Fractional coordinates of all 16 atoms:
Cs (0.500, 0.500, 0.000)
Cs (0.500, 0.500, 0.500)
Cs (0.000, 0.500, 0.500)
Rb (0.500, 0.000, 0.000)
Rb (0.500, 0.000, 0.500)
Rb (0.000, 0.000, 0.000)
Rb (0.000, 0.000, 0.500)
Na (0.000, 0.500, 0.000)
I (0.235, 0.743, 0.008)
I (0.244, 0.753, 0.489)
I (0.245, 0.236, 0.491)
I (0.774, 0.743, 0.008)
I (0.226, 0.257, 0.992)
I (0.755, 0.764, 0.509)
I (0.756, 0.247, 0.511)
I (0.765, 0.257, 0.992)


Record 8
MnAlGa3: relaxed, GGA-PBE.

Properties
Energy relative to the lowest polymorph listed for this composition in meV/atom: 0

a = 4.650 Å, b = 4.650 Å, c = 4.650 Å
α = 90.00°, β = 90.00°, γ = 90.00°
Fractional coordinates of all 5 atoms:
Mn (0.000, 0.000, 0.000)
Al (0.500, 0.500, 0.500)
Ga (0.000, 0.500, 0.000)
Ga (0.000, 0.000, 0.500)
Ga (0.500, 0.000, 0.000)